Below is a relaxed structure of BaLiIr, with properties calculated at the PBE level.

It has space group C2/m (No. 12), with a = 14.465 Å, b = 4.556 Å, c = 5.752 Å, α = 90.00°, β = 104.48° and γ = 90.00°. The distinct sites, in fractional coordinates, are Ba at (0.128, 0.000, 0.331), Li at (0.102, 0.500, 0.805) and Ir at (0.234, 0.000, 0.926).

For the calculated formation energy, the calculation gives -0.097 eV/atom.

---

Below is a relaxed structure of Ba6Li3Ir, with properties calculated at the PBE level.

It has space group P2_1/c (No. 14), with a = 7.905 Å, b = 9.847 Å, c = 14.069 Å, α = 90.00°, β = 119.40° and γ = 90.00°. The distinct sites, in fractional coordinates, are Ba at (0.097, 0.046, 0.236), Ba at (0.192, 0.716, 0.061), Ba at (0.376, 0.151, 0.047), Li at (0.337, 0.103, 0.733), Li at (0.500, 0.000, 0.500) and Ir at (0.000, 0.000, 0.000).

For the calculated formation energy, the calculation gives -0.018 eV/atom.

---

Below is a relaxed structure of Ba2LiIr, with properties calculated at the PBE level.

It has space group P4/mmm (No. 123), with a = 3.870 Å, b = 3.870 Å, c = 9.149 Å, α = 90.00°, β = 90.00° and γ = 90.00°. The distinct sites, in fractional coordinates, are Ba at (0.000, 0.000, 0.194), Li at (0.500, 0.500, 0.500) and Ir at (0.500, 0.500, 0.000).

For the calculated formation energy, the calculation gives 0.042 eV/atom.

---

Below is a relaxed structure of Ba2LiIr, with properties calculated at the PBE level.

It has space group C2/m (No. 12), with a = 7.816 Å, b = 4.491 Å, c = 9.704 Å, α = 90.00°, β = 105.00° and γ = 90.00°. The distinct sites, in fractional coordinates, are Ba at (0.224, 0.000, 0.177), Li at (0.000, 0.000, 0.500) and Ir at (0.000, 0.500, 0.000).

For the calculated formation energy, the calculation gives 0.068 eV/atom.

---

Below is a relaxed structure of Ba2LiIr, with properties calculated at the PBE level.

It has space group Cm (No. 8), with a = 7.834 Å, b = 4.517 Å, c = 8.551 Å, α = 90.00°, β = 107.22° and γ = 90.00°. The distinct sites, in fractional coordinates, are Ba at (0.000, 0.000, 0.000), Ba at (0.159, 0.000, 0.491), Li at (0.246, 0.500, 0.245) and Ir at (0.413, 0.000, 0.245).

For the calculated formation energy, the calculation gives -0.125 eV/atom.

---

Below is a relaxed structure of Ba6LiIr, with properties calculated at the PBE level.

It has space group C2/m (No. 12), with a = 8.523 Å, b = 13.306 Å, c = 7.924 Å, α = 90.00°, β = 104.25° and γ = 90.00°. The distinct sites, in fractional coordinates, are Ba at (0.176, 0.165, 0.247), Ba at (0.234, 0.500, 0.194), Li at (0.000, 0.500, 0.500) and Ir at (0.000, 0.000, 0.000).

For the calculated formation energy, the calculation gives -0.060 eV/atom.